1.
The following is a PBE-GGA calculation of a relaxed Zn2FeSe crystal, from the Alexandria database.

Structure (extended XYZ):
```
4
Lattice="3.528 0.000 0.000 0.000 3.528 0.000 0.000 0.000 4.975" Properties=species:S:1:pos:R:3 pbc="T T T"
Zn 0.000 0.000 1.191
Zn 0.000 0.000 3.785
Fe 1.764 1.764 0.000
Se 1.764 1.764 2.488
```

Properties
* total moment: 2.44 μB per formula unit
* energy relative to the elements, uncorrected: 0.14 eV per atom

***

2.
The following is a PBE-GGA calculation of a relaxed Li3SmAu3 crystal, from the Alexandria database.

Structure (extended XYZ):
```
14
Lattice="6.708 0.000 0.000 0.000 6.708 0.000 0.000 0.000 6.708" Properties=species:S:1:pos:R:3 pbc="T T T"
Li 0.000 1.677 3.354
Li 0.000 5.031 3.354
Li 1.677 3.354 0.000
Li 3.354 0.000 1.677
Li 3.354 0.000 5.031
Li 5.031 3.354 0.000
Sm 0.000 0.000 0.000
Sm 3.354 3.354 3.354
Au 0.000 3.354 1.677
Au 0.000 3.354 5.031
Au 1.677 0.000 3.354
Au 3.354 1.677 0.000
Au 3.354 5.031 0.000
Au 5.031 0.000 3.354
```

Properties
* total moment: 0.00 μB per formula unit
* excess energy over the best structure of this formula in the dataset: 0.343 eV/atom
* formation energy from the elements: -150 meV per atom

***

3.
The following is a PBE-GGA calculation of a relaxed Sc3AgO crystal, from the Alexandria database.

Structure (extended XYZ):
```
5
Lattice="3.067 0.000 0.000 0.000 3.098 7.097 0.000 -3.098 7.097" Properties=species:S:1:pos:R:3 pbc="T T T"
Sc 0.000 0.000 0.000
Sc 1.534 -1.629 4.795
Sc 1.534 1.629 4.795
Ag 1.534 0.000 2.477
O 0.000 0.000 11.782
```

Properties
* total moment: 1.21 μB per formula unit
* excess energy over the best structure of this formula in the dataset: 0.724 eV/atom
* energy relative to the elements, uncorrected: -0.64 eV per atom

***

4.
The following is a PBE-GGA calculation of a relaxed Re3Tc2Os2 crystal, from the Alexandria database.

Structure (extended XYZ):
```
7
Lattice="4.150 0.000 0.000 0.000 2.730 0.000 -2.069 0.000 9.190" Properties=species:S:1:pos:R:3 pbc="T T T"
Re 0.000 0.000 0.000
Re 0.004 1.365 5.293
Re 2.078 1.365 3.897
Tc 0.008 1.365 7.864
Tc 2.073 1.365 1.325
Os 0.002 0.000 2.780
Os 2.079 0.000 6.410
```

Properties
* total moment: 0.00 μB per formula unit
* formation energy from the elements: 135 meV per atom

***

5.
The following is a PBE-GGA calculation of a relaxed Mn2CrPOs crystal, from the Alexandria database.

Structure (extended XYZ):
```
5
Lattice="4.031 0.000 0.000 0.000 4.031 0.000 0.000 0.000 4.131" Properties=species:S:1:pos:R:3 pbc="T T T"
Mn 0.000 2.015 0.000
Mn 2.015 0.000 0.000
Cr 0.000 0.000 2.065
P 0.000 0.000 0.000
Os 2.015 2.015 2.065
```

Properties
* total moment: 0.00 μB per formula unit
* formation energy from the elements: 723 meV per atom

***

6.
The following is a PBE-GGA calculation of a relaxed Al2SbRh crystal, from the Alexandria database.

Structure (extended XYZ):
```
4
Lattice="3.112 0.000 0.000 0.000 3.795 0.000 0.000 0.000 6.239" Properties=species:S:1:pos:R:3 pbc="T T T"
Al 0.000 0.000 0.000
Al 1.556 1.898 1.677
Sb 1.556 1.898 4.644
Rh 0.000 0.000 2.418
```

Properties
* total moment: 0.00 μB per formula unit
* energy relative to the elements, uncorrected: -0.23 eV per atom

***

7.
The following is a PBE-GGA calculation of a relaxed TcIrOsW crystal, from the Alexandria database.

Structure (extended XYZ):
```
4
Lattice="-1.369 2.186 5.371 1.369 -2.186 5.371 1.369 2.186 -5.371" Properties=species:S:1:pos:R:3 pbc="T T T"
Tc 0.000 0.000 0.000
Ir 0.000 2.186 2.944
Os 0.000 0.000 6.091
W 1.369 0.000 3.707
```

Properties
* total moment: 0.00 μB per formula unit
* formation energy from the elements: 221 meV per atom

***

8.
The following is a PBE-GGA calculation of a relaxed Cd2Ga2Ag crystal, from the Alexandria database.

Structure (extended XYZ):
```
5
Lattice="1.531 0.884 12.321 -1.531 0.884 12.321 0.000 -1.768 12.321" Properties=species:S:1:pos:R:3 pbc="T T T"
Cd 0.000 0.000 4.815
Cd 0.000 0.000 32.148
Ga 0.000 0.000 14.590
Ga 0.000 0.000 22.374
Ag 0.000 0.000 0.000
```

Properties
* total moment: 0.00 μB per formula unit
* excess energy over the best structure of this formula in the dataset: 0.000 eV/atom
* formation energy from the elements: 40 meV per atom

***

9.
The following is a PBE-GGA calculation of a relaxed Er2SbS6 crystal, from the Alexandria database.

Structure (extended XYZ):
```
18
Lattice="6.503 0.000 0.000 0.000 6.844 0.000 -5.341 0.000 9.109" Properties=species:S:1:pos:R:3 pbc="T T T"
Er -0.064 0.735 2.084
Er -2.735 2.687 6.639
Er 3.897 4.157 2.470
Er 1.227 6.109 7.025
Sb 3.252 0.000 0.000
Sb 0.581 3.422 4.555
S -4.199 1.280 8.576
S -1.528 2.142 4.022
S -3.349 4.698 8.458
S -0.679 5.568 3.904
S -1.303 0.342 6.781
S 1.367 3.080 2.226
S -0.205 3.764 6.883
S 2.465 6.502 2.329
S 1.841 1.276 5.206
S 4.511 2.146 0.651
S 2.690 4.702 5.088
S 5.361 5.564 0.533
```

Properties
* total moment: 0.18 μB per formula unit
* energy relative to the elements, uncorrected: -1.01 eV per atom

***

10.
The following is a PBE-GGA calculation of a relaxed Sr3SnAs3 crystal, from the Alexandria database.

Structure (extended XYZ):
```
7
Lattice="5.335 3.080 2.126 -5.335 3.080 2.126 0.000 -6.160 2.126" Properties=species:S:1:pos:R:3 pbc="T T T"
Sr 0.000 -2.714 2.126
Sr -2.351 1.357 2.126
Sr 2.351 1.357 2.126
Sn 0.000 0.000 4.317
As -3.137 -1.811 3.213
As 3.137 -1.811 3.213
As 0.000 3.623 3.213
```

Properties
* total moment: 0.00 μB per formula unit
* excess energy over the best structure of this formula in the dataset: 0.141 eV/atom
* formation energy from the elements: -780 meV per atom

***

11.
The following is a PBE-GGA calculation of a relaxed RbH7Ru2 crystal, from the Alexandria database.

Structure (extended XYZ):
```
10
Lattice="2.733 -5.007 0.000 2.733 5.007 0.000 0.000 0.000 3.322" Properties=species:S:1:pos:R:3 pbc="T T T"
Rb 0.000 0.000 0.000
H 1.051 1.603 1.661
H 1.051 -1.603 1.661
H 2.733 1.329 0.000
H 2.733 0.000 1.661
H 2.733 -1.329 0.000
H 4.415 1.603 1.661
H 4.415 -1.603 1.661
Ru 2.733 1.922 1.661
Ru 2.733 -1.922 1.661
```

Properties
* total moment: 0.00 μB per formula unit

***

12.
The following is a PBE-GGA calculation of a relaxed PmYMgZn crystal, from the Alexandria database.

Structure (extended XYZ):
```
4
Lattice="3.644 0.000 0.000 0.000 3.644 0.000 0.000 0.000 7.826" Properties=species:S:1:pos:R:3 pbc="T T T"
Pm 0.000 0.000 0.000
Y 0.000 0.000 3.517
Mg 1.822 1.822 5.615
Zn 1.822 1.822 1.854
```

Properties
* total moment: 0.00 μB per formula unit
* excess energy over the best structure of this formula in the dataset: 0.000 eV/atom
* formation energy from the elements: -219 meV per atom

***

13.
The following is a PBE-GGA calculation of a relaxed ZrNpPt6 crystal, from the Alexandria database.

Structure (extended XYZ):
```
8
Lattice="4.099 0.000 0.000 0.000 4.099 0.000 0.000 0.000 8.244" Properties=species:S:1:pos:R:3 pbc="T T T"
Zr 0.000 0.000 0.000
Np 0.000 0.000 4.122
Pt 0.000 2.050 1.986
Pt 0.000 2.050 6.258
Pt 2.050 0.000 1.986
Pt 2.050 0.000 6.258
Pt 2.050 2.050 0.000
Pt 2.050 2.050 4.122
```

Properties
* total moment: 3.34 μB per formula unit
* formation energy from the elements: -807 meV per atom

***

14.
The following is a PBE-GGA calculation of a relaxed AlHgW2 crystal, from the Alexandria database.

Structure (extended XYZ):
```
4
Lattice="2.788 0.000 0.000 0.000 4.080 0.000 0.000 0.000 6.132" Properties=species:S:1:pos:R:3 pbc="T T T"
Al 0.000 0.000 0.000
Hg 1.394 2.040 1.599
W 0.000 0.000 3.385
W 1.394 2.040 4.685
```

Properties
* total moment: 0.00 μB per formula unit
* excess energy over the best structure of this formula in the dataset: 0.191 eV/atom
* formation energy from the elements: 529 meV per atom

***

Summary of DFT total energy in eV/cell
-13.95, -42.68, -30.02, -79.59, -40.99, -19.89, -42.53, -10.53, -94.23, -28.46, -41.84, -14.96, -64.19, -27.83
(order as listed above)